[1]
# KPdI4, relaxed, DFT PBE
data_KPdI4
_chemical_formula_sum 'K4 Pd4 I16'
_symmetry_space_group_name_H-M 'C 1 2/c 1'
_symmetry_Int_Tables_number 15
_cell_length_a 16.645
_cell_length_b 7.055
_cell_length_c 7.945
_cell_angle_alpha 90.00
_cell_angle_beta 103.80
_cell_angle_gamma 90.00
loop_
_symmetry_equiv_pos_as_xyz
'x,y,z'
'-x,-y,-z'
'-x,y,-z+1/2'
'x,-y,z+1/2'
'x+1/2,y+1/2,z'
'-x+1/2,-y+1/2,-z'
'-x+1/2,y+1/2,-z+1/2'
'x+1/2,-y+1/2,z+1/2'
loop_
_atom_site_label
_atom_site_type_symbol
_atom_site_fract_x
_atom_site_fract_y
_atom_site_fract_z
K1 K 0.000 0.153 0.250
Pd1 Pd 0.250 0.250 0.000
I1 I 0.091 0.366 0.929
I2 I 0.197 0.042 0.688
# Energy above the lowest structure with this stoichiometry, meV/atom: 0
# Mass density, g cm⁻³: 4.79

[2]
# KPd4I12, relaxed, DFT PBE
data_KPd4I12
_chemical_formula_sum 'K2 Pd8 I24'
_symmetry_space_group_name_H-M 'I m -3'
_symmetry_Int_Tables_number 204
_symmetry_space_group_name_Hall '-I 2 2 3'
_cell_length_a 10.607
_cell_length_b 10.607
_cell_length_c 10.607
_cell_angle_alpha 90.00
_cell_angle_beta 90.00
_cell_angle_gamma 90.00
loop_
_atom_site_label
_atom_site_type_symbol
_atom_site_fract_x
_atom_site_fract_y
_atom_site_fract_z
K1 K 0.000 0.000 0.000
Pd1 Pd 0.250 0.250 0.250
I1 I 0.000 0.189 0.303
# Electronic total energy, eV/atom: -2.621
# Mass density, g cm⁻³: 5.53

[3]
# K4PdI6, relaxed, DFT PBE
data_K4PdI6
_chemical_formula_sum 'K8 Pd2 I12'
_symmetry_space_group_name_H-M 'P 4/m n c'
_symmetry_Int_Tables_number 128
_symmetry_space_group_name_Hall '-P 4 2n'
_cell_length_a 9.708
_cell_length_b 9.708
_cell_length_c 9.643
_cell_angle_alpha 90.00
_cell_angle_beta 90.00
_cell_angle_gamma 90.00
loop_
_atom_site_label
_atom_site_type_symbol
_atom_site_fract_x
_atom_site_fract_y
_atom_site_fract_z
K1 K 0.178 0.322 0.250
Pd1 Pd 0.000 0.000 0.000
I1 I 0.000 0.000 0.290
I2 I 0.083 0.702 0.000
# Electronic total energy, eV/atom: -2.770
# Mass density, g cm⁻³: 3.74

[4]
# KPdI, relaxed, DFT PBE
data_KPdI
_chemical_formula_sum 'K2 Pd2 I2'
_symmetry_space_group_name_H-M 'P 1'
_symmetry_Int_Tables_number 1
_cell_length_a 4.864
_cell_length_b 5.071
_cell_length_c 9.000
_cell_angle_alpha 84.45
_cell_angle_beta 76.02
_cell_angle_gamma 70.99
loop_
_symmetry_equiv_pos_as_xyz
'x,y,z'
loop_
_atom_site_label
_atom_site_type_symbol
_atom_site_fract_x
_atom_site_fract_y
_atom_site_fract_z
K1 K 0.000 0.000 0.000
K2 K 0.479 0.744 0.453
Pd1 Pd 0.405 0.388 0.903
Pd2 Pd 0.872 0.597 0.736
I1 I 0.235 0.399 0.208
I2 I 0.773 0.132 0.659
# Energy above the lowest structure with this stoichiometry, meV/atom: 96
# Mass density, g cm⁻³: 4.44

[5]
# KPdI, relaxed, DFT PBE
data_KPdI
_chemical_formula_sum 'K2 Pd2 I2'
_symmetry_space_group_name_H-M 'P 63/m m c'
_symmetry_Int_Tables_number 194
_symmetry_space_group_name_Hall '-P 6c 2c'
_cell_length_a 5.9046
_cell_length_b 5.9046
_cell_length_c 10.2229
_cell_angle_alpha 90.00
_cell_angle_beta 90.00
_cell_angle_gamma 120.00
loop_
_atom_site_label
_atom_site_type_symbol
_atom_site_fract_x
_atom_site_fract_y
_atom_site_fract_z
K1 K 0.3333 0.6667 0.2500
Pd1 Pd 0.0000 0.0000 0.0000
I1 I 0.0000 0.0000 0.2500
# Energy above the lowest structure with this stoichiometry, meV/atom: 252
# Mass density, g cm⁻³: 2.93

[6]
# KPd2I, relaxed, DFT PBE
data_KPd2I
_chemical_formula_sum 'K4 Pd8 I4'
_symmetry_space_group_name_H-M 'F m -3 m'
_symmetry_Int_Tables_number 225
_symmetry_space_group_name_Hall '-F 4 2 3'
_cell_length_a 7.098
_cell_length_b 7.098
_cell_length_c 7.098
_cell_angle_alpha 90.00
_cell_angle_beta 90.00
_cell_angle_gamma 90.00
loop_
_atom_site_label
_atom_site_type_symbol
_atom_site_fract_x
_atom_site_fract_y
_atom_site_fract_z
K1 K 0.000 0.000 0.000
Pd1 Pd 0.250 0.250 0.250
I1 I 0.000 0.000 0.500
# Energy above the lowest structure with this stoichiometry, meV/atom: 289
# Mass density, g cm⁻³: 7.04

[7]
# KPdI, relaxed, DFT PBE
data_KPdI
_chemical_formula_sum 'K4 Pd4 I4'
_symmetry_space_group_name_H-M 'A m m 2'
_symmetry_Int_Tables_number 38
_cell_length_a 4.854
_cell_length_b 4.903
_cell_length_c 18.001
_cell_angle_alpha 90.00
_cell_angle_beta 90.00
_cell_angle_gamma 90.00
loop_
_symmetry_equiv_pos_as_xyz
'x,y,z'
'-x,-y,z'
'-x,y,z'
'x,-y,z'
'x,y+1/2,z+1/2'
'-x,-y+1/2,z+1/2'
'-x,y+1/2,z+1/2'
'x,-y+1/2,z+1/2'
loop_
_atom_site_label
_atom_site_type_symbol
_atom_site_fract_x
_atom_site_fract_y
_atom_site_fract_z
K1 K 0.000 0.000 0.000
K2 K 0.000 0.000 0.256
Pd1 Pd 0.500 0.000 0.129
Pd2 Pd 0.500 0.000 0.547
I1 I 0.500 0.000 0.402
I2 I 0.500 0.000 0.689
# Energy above the lowest structure with this stoichiometry, meV/atom: 31
# Mass density, g cm⁻³: 4.22

[8]
# KPdI, relaxed, DFT PBE
data_KPdI
_chemical_formula_sum 'K2 Pd2 I2'
_symmetry_space_group_name_H-M 'P 1 21/m 1'
_symmetry_Int_Tables_number 11
_cell_length_a 4.984
_cell_length_b 5.672
_cell_length_c 8.059
_cell_angle_alpha 90.00
_cell_angle_beta 107.80
_cell_angle_gamma 90.00
loop_
_symmetry_equiv_pos_as_xyz
'x,y,z'
'-x,-y,-z'
'-x,y+1/2,-z'
'x,-y+1/2,z'
loop_
_atom_site_label
_atom_site_type_symbol
_atom_site_fract_x
_atom_site_fract_y
_atom_site_fract_z
K1 K 0.116 0.250 0.234
Pd1 Pd 0.500 0.000 0.000
I1 I 0.359 0.250 0.712
# Energy above the lowest structure with this stoichiometry, meV/atom: 0
# Mass density, g cm⁻³: 4.17

[9]
# KPd2I, relaxed, DFT PBE
data_KPd2I
_chemical_formula_sum 'K4 Pd8 I4'
_symmetry_space_group_name_H-M 'I -4 2 d'
_symmetry_Int_Tables_number 122
_symmetry_space_group_name_Hall 'I -4 2bw'
_cell_length_a 5.547
_cell_length_b 5.547
_cell_length_c 17.477
_cell_angle_alpha 90.00
_cell_angle_beta 90.00
_cell_angle_gamma 90.00
loop_
_atom_site_label
_atom_site_type_symbol
_atom_site_fract_x
_atom_site_fract_y
_atom_site_fract_z
K1 K 0.000 0.000 0.000
Pd1 Pd 0.001 0.750 0.625
I1 I 0.000 0.000 0.500
# Energy above the lowest structure with this stoichiometry, meV/atom: 0
# Mass density, g cm⁻³: 4.68

[10]
# K3PdI, relaxed, DFT PBE
data_K3PdI
_chemical_formula_sum 'K3 Pd1 I1'
_symmetry_space_group_name_H-M 'P m -3 m'
_symmetry_Int_Tables_number 221
_symmetry_space_group_name_Hall '-P 4 2 3'
_cell_length_a 6.155
_cell_length_b 6.155
_cell_length_c 6.155
_cell_angle_alpha 90.00
_cell_angle_beta 90.00
_cell_angle_gamma 90.00
loop_
_atom_site_label
_atom_site_type_symbol
_atom_site_fract_x
_atom_site_fract_y
_atom_site_fract_z
K1 K 0.000 0.000 0.500
Pd1 Pd 0.000 0.000 0.000
I1 I 0.500 0.500 0.500
# Energy above the lowest structure with this stoichiometry, meV/atom: 0
# Mass density, g cm⁻³: 2.50

[11]
# K3PdI4, relaxed, DFT PBE
data_K3PdI4
_chemical_formula_sum 'K6 Pd2 I8'
_symmetry_space_group_name_H-M 'P m n 21'
_symmetry_Int_Tables_number 31
_cell_length_a 13.885
_cell_length_b 10.256
_cell_length_c 5.490
_cell_angle_alpha 90.00
_cell_angle_beta 90.00
_cell_angle_gamma 90.00
loop_
_symmetry_equiv_pos_as_xyz
'x,y,z'
'-x+1/2,-y,z+1/2'
'-x,y,z'
'x+1/2,-y,z+1/2'
loop_
_atom_site_label
_atom_site_type_symbol
_atom_site_fract_x
_atom_site_fract_y
_atom_site_fract_z
K1 K 0.000 0.089 0.000
K2 K 0.163 0.636 0.505
Pd1 Pd 0.000 0.360 0.505
I1 I 0.000 0.423 0.005
I2 I 0.000 0.884 0.500
I3 I 0.189 0.294 0.505
# Electronic total energy, eV/atom: -2.858
# Mass density, g cm⁻³: 3.11

[12]
# K3Pd2I9, relaxed, DFT PBE
data_K3Pd2I9
_chemical_formula_sum 'K18 Pd12 I54'
_symmetry_space_group_name_H-M 'R -3 c'
_symmetry_Int_Tables_number 167
_symmetry_space_group_name_Hall '-R 3 2"c'
_cell_length_a 12.8240
_cell_length_b 12.8240
_cell_length_c 25.7292
_cell_angle_alpha 90.00
_cell_angle_beta 90.00
_cell_angle_gamma 120.00
loop_
_atom_site_label
_atom_site_type_symbol
_atom_site_fract_x
_atom_site_fract_y
_atom_site_fract_z
K1 K 0.0001 0.3333 0.0833
Pd1 Pd 0.0000 0.0000 0.1813
I1 I 0.0000 0.1689 0.2500
I2 I 0.0148 0.1863 0.6213
# Electronic total energy, eV/atom: -2.648
# Mass density, g cm⁻³: 4.00

- Which of these has the highest mass density?
  number 6

- Which value of mass density does entry 7 give?
  4.22 g cm⁻³